Material: RbCd2Bi2
Method: DFT, meta-GGA SCAN
State: single point on PBEsol structure

- DFT formation energy: -0.250 eV/atom

Cell lengths 4.687, 4.687, 14.571 Å; angles 90.00, 90.00, 90.00 degrees
Space group I4/mmm (No. 139)
Unique sites:
Rb  0.000  0.000  0.000 [2 per cell]
Cd  0.000  0.500  0.250 [4 per cell]
Bi  0.000  0.000  0.378 [4 per cell]



Material: BaH3S
Method: DFT, meta-GGA SCAN
State: single point on PBEsol structure

- E: -11.7991 eV per atom

Cell lengths 3.980, 3.980, 3.980 Å; angles 90.00, 90.00, 90.00 degrees
Space group Pm-3m (No. 221)
Unique sites:
Ba  0.000  0.000  0.000 [1 per cell]
H  0.000  0.500  0.500 [3 per cell]
S  0.500  0.500  0.500 [1 per cell]



Material: TlTcOsI2
Method: DFT, meta-GGA SCAN
State: single point on PBEsol structure

- Raw formation energy: 1.0304 eV/atom

Cell lengths 5.451, 5.451, 4.661 Å; angles 90.00, 90.00, 90.00 degrees
Space group P4/mmm (No. 123)
Unique sites:
Tl  0.000  0.000  0.000 [1 per cell]
Tc  0.500  0.500  0.500 [1 per cell]
Os  0.500  0.500  0.000 [1 per cell]
I  0.000  0.500  0.500 [2 per cell]



Material: Mn2TlPb
Method: DFT, meta-GGA SCAN
State: single point on PBEsol structure

- DFT formation energy: 0.197 eV/atom

Cell lengths 6.328, 7.780, 3.140 Å; angles 90.00, 90.00, 90.00 degrees
Space group Cmmm (No. 65)
Unique sites:
Mn  0.250  0.250  0.000 [4 per cell]
Tl  0.000  0.000  0.500 [2 per cell]
Pb  0.000  0.500  0.500 [2 per cell]



Material: MnAlP
Method: DFT, meta-GGA SCAN
State: single point on PBEsol structure

- DFT formation energy: -0.200 eV/atom

Cell lengths 3.7375, 3.7375, 3.1576 Å; angles 90.00, 90.00, 120.00 degrees
Space group P-6m2 (No. 187)
Unique sites:
Mn  0.0000  0.0000  0.0000 [1 per cell]
Al  0.6667  0.3333  0.5000 [1 per cell]
P  0.3333  0.6667  0.0000 [1 per cell]



Material: TiHgIO2
Method: DFT, meta-GGA SCAN
State: single point on PBEsol structure

- Raw formation energy: 0.3151 eV/atom

Cell lengths 4.161, 4.161, 5.854 Å; angles 90.00, 90.00, 90.00 degrees
Space group P4/mmm (No. 123)
Unique sites:
Ti  0.000  0.000  0.000 [1 per cell]
Hg  0.500  0.500  0.500 [1 per cell]
I  0.500  0.500  0.000 [1 per cell]
O  0.000  0.500  0.500 [2 per cell]



Material: CoSi2Rh
Method: DFT, meta-GGA SCAN
State: single point on PBEsol structure

- Energy above the most stable polymorph in this dataset: 12 meV/atom
- Raw formation energy: -0.4421 eV/atom

Cell lengths 7.472, 2.759, 4.738 Å; angles 90.00, 101.90, 90.00 degrees
Space group C2/m (No. 12)
Unique sites:
Co  0.000  0.000  0.000 [2 per cell]
Si  0.245  0.500  0.229 [4 per cell]
Rh  0.000  0.500  0.500 [2 per cell]



Material: TaCd
Method: DFT, meta-GGA SCAN
State: single point on PBEsol structure

- DFT formation energy: 0.301 eV/atom

Cell lengths 4.830, 2.865, 5.352 Å; angles 90.00, 90.00, 90.00 degrees
Space group Pmma (No. 51)
Unique sites:
Ta  0.250  0.000  0.125 [2 per cell]
Cd  0.250  0.500  0.639 [2 per cell]